Ce4Pb | the Alexandria database | PBE | optimized geometry; density of states at the Fermi level = 26.56 states/eV per cell; crystal system = cubic; spin magnetization = 7.17 Bohr magnetons per cell; total DFT energy (no corrections) = -4.87 eV/atom; space group = Pm-3m (221); ρ = 5.90 g cm⁻³; ΔH_f (0 K) = 298 kJ/mol of formula units
1.0
6.000 0.000 0.000
0.000 6.000 0.000
0.000 0.000 6.000
Pb Ce
1 4
Cartesian
3.000 3.000 3.000
3.000 3.000 0.000
0.000 0.000 0.000
3.000 0.000 3.000
0.000 3.000 3.000

CePb7 | the Alexandria database | PBE | optimized geometry; density of states at the Fermi level = 9.86 states/eV per cell; crystal system = cubic; spin magnetization = 1.08 Bohr magnetons per cell; total DFT energy (no corrections) = -4.12 eV/atom; space group = Fm-3m (225); ρ = 10.72 g cm⁻³; ΔH_f (0 K) = -104 kJ/mol of formula units
1.0
-1.633 -2.928 6.186
4.752 -0.147 5.186
-0.873 4.049 5.687
Pb Ce
7 1
Cartesian
-0.437 2.025 2.844
-1.253 0.561 5.937
1.560 -1.537 5.686
-0.816 -1.464 3.093
1.940 1.951 5.437
2.376 -0.073 2.593
1.123 0.487 8.530
0.000 0.000 0.000

Q: Number 2 is which compound?
A: CePb7